P | Computed, not measured: a geometry-optimized OsI2N structure at the PBE level of DFT.

abc: 7.1718 7.1718 7.1718
angles: 133.32 133.32 68.15
Fractional coordinates of all 8 atoms:
Os: 0.0000 0.0000 0.0000
Os: 0.7500 0.2500 0.5000
I: 0.1399 0.6250 0.0149
I: 0.3750 0.3899 0.5149
I: 0.6101 0.1250 0.9851
I: 0.8750 0.8601 0.4851
N: 0.2500 0.7500 0.5000
N: 0.5000 0.5000 0.0000

Summary:
The calculation puts the size of the total moment at 0.00 μB per cell. The density of states at the Fermi level is 8.37 states/eV per cell. As for the density: 7.9 g/cm³.

---

Q | Computed, not measured: a geometry-optimized OsI2N structure at the PBE level of DFT.

abc: 4.7071 4.7071 4.7071
angles: 60.00 60.00 60.00
Fractional coordinates of all 4 atoms:
Os: 0.0000 0.0000 0.0000
I: 0.2500 0.2500 0.2500
I: 0.7500 0.7500 0.7500
N: 0.5000 0.5000 0.5000

Summary:
The calculation puts the size of the total moment at 1.61 μB per cell. The density of states at the Fermi level is 2.99 states/eV per cell. As for the density: 10.3 g/cm³.

---

Verdict on stability: Q comes out at the bottom.

---

P | Computed, not measured: a geometry-optimized OsPdI2N structure at the PBE level of DFT.

abc: 5.5222 5.5222 3.7002
angles: 90.00 90.00 90.00
Fractional coordinates of all 5 atoms:
Os: 0.0000 0.0000 0.0000
Pd: 0.5000 0.5000 0.5000
I: 0.0000 0.5000 0.0000
I: 0.5000 0.0000 0.0000
N: 0.0000 0.0000 0.5000

Summary:
The calculation puts the size of the total moment at 0.00 μB per cell. The density of states at the Fermi level is 4.95 states/eV per cell. As for the density: 8.3 g/cm³.

---

Q | Computed, not measured: a geometry-optimized OsPdI2N structure at the PBE level of DFT.

abc: 5.4837 5.4837 3.6449
angles: 90.00 90.00 90.00
Fractional coordinates of all 5 atoms:
Os: 0.0000 0.0000 0.0000
Pd: 0.5000 0.5000 0.5000
I: 0.0000 0.5000 0.5000
I: 0.5000 0.0000 0.5000
N: 0.5000 0.5000 0.0000

Summary:
The calculation puts the size of the total moment at 0.88 μB per cell. The density of states at the Fermi level is 4.99 states/eV per cell. As for the density: 8.6 g/cm³.

---

Verdict on stability: Q comes out at the bottom.

---

P | Computed, not measured: a geometry-optimized OsPdIN2 structure at the PBE level of DFT.

abc: 3.8137 3.8137 5.9980
angles: 90.00 90.00 90.00
Fractional coordinates of all 5 atoms:
Os: 0.0000 0.0000 0.0000
Pd: 0.5000 0.5000 0.5000
I: 0.0000 0.0000 0.5000
N: 0.0000 0.5000 0.0000
N: 0.5000 0.0000 0.0000

Summary:
The calculation puts the size of the total moment at 0.28 μB per cell. The density of states at the Fermi level is 1.91 states/eV per cell. As for the density: 8.6 g/cm³.

---

Q | Computed, not measured: a geometry-optimized OsPdIN2 structure at the PBE level of DFT.

abc: 3.8550 3.8550 7.8146
angles: 90.00 90.00 90.00
Fractional coordinates of all 5 atoms:
Os: 0.0000 0.0000 0.0000
Pd: 0.5000 0.5000 0.5000
I: 0.5000 0.5000 0.0000
N: 0.0000 0.5000 0.5000
N: 0.5000 0.0000 0.5000

Summary:
The calculation puts the size of the total moment at 4.45 μB per cell. The density of states at the Fermi level is 3.12 states/eV per cell. As for the density: 6.5 g/cm³.

---

Verdict on stability: Q comes out at the bottom.

---

P | Computed, not measured: a geometry-optimized OsPtI2N structure at the PBE level of DFT.

abc: 5.5318 5.5318 3.6349
angles: 90.00 90.00 90.00
Fractional coordinates of all 5 atoms:
Os: 0.0000 0.0000 0.0000
Pt: 0.5000 0.5000 0.5000
I: 0.0000 0.5000 0.5000
I: 0.5000 0.0000 0.5000
N: 0.5000 0.5000 0.0000

Summary:
The calculation puts the size of the total moment at 0.00 μB per cell. The density of states at the Fermi level is 5.88 states/eV per cell. As for the density: 9.8 g/cm³.

---

Q | Computed, not measured: a geometry-optimized OsPtI2N structure at the PBE level of DFT.

abc: 5.4685 5.4685 3.6843
angles: 90.00 90.00 90.00
Fractional coordinates of all 5 atoms:
Os: 0.0000 0.0000 0.0000
Pt: 0.5000 0.5000 0.5000
I: 0.0000 0.5000 0.0000
I: 0.5000 0.0000 0.0000
N: 0.0000 0.0000 0.5000

Summary:
The calculation puts the size of the total moment at 0.00 μB per cell. The density of states at the Fermi level is 4.96 states/eV per cell. As for the density: 9.8 g/cm³.

---

Verdict on stability: P comes out at the bottom.

---

P | Computed, not measured: a geometry-optimized OsSIN2 structure at the PBE level of DFT.

abc: 3.6357 3.6357 7.0734
angles: 90.00 90.00 90.00
Fractional coordinates of all 5 atoms:
Os: 0.0000 0.0000 0.0000
S: 0.5000 0.5000 0.5000
I: 0.5000 0.5000 0.0000
N: 0.0000 0.5000 0.5000
N: 0.5000 0.0000 0.5000

Summary:
The calculation puts the size of the total moment at 1.35 μB per cell. The density of states at the Fermi level is 3.98 states/eV per cell. As for the density: 6.7 g/cm³.

---

Q | Computed, not measured: a geometry-optimized OsSIN2 structure at the PBE level of DFT.

abc: 3.8564 3.8564 5.4563
angles: 90.00 90.00 90.00
Fractional coordinates of all 5 atoms:
Os: 0.0000 0.0000 0.0000
S: 0.0000 0.0000 0.5000
I: 0.5000 0.5000 0.5000
N: 0.0000 0.5000 0.0000
N: 0.5000 0.0000 0.0000

Summary:
The calculation puts the size of the total moment at 0.29 μB per cell. The density of states at the Fermi level is 3.14 states/eV per cell. As for the density: 7.7 g/cm³.

---

R | Computed, not measured: a geometry-optimized OsSIN2 structure at the PBE level of DFT.

abc: 3.8215 3.8215 5.9886
angles: 90.00 90.00 90.00
Fractional coordinates of all 5 atoms:
Os: 0.0000 0.0000 0.0000
S: 0.5000 0.5000 0.5000
I: 0.0000 0.0000 0.5000
N: 0.0000 0.5000 0.0000
N: 0.5000 0.0000 0.0000

Summary:
The calculation puts the size of the total moment at 0.21 μB per cell. The density of states at the Fermi level is 3.77 states/eV per cell. As for the density: 7.2 g/cm³.

---

Verdict on stability: P comes out at the bottom.

---

P | Computed, not measured: a geometry-optimized OsSI2N structure at the PBE level of DFT.

abc: 5.4594 5.4594 3.3018
angles: 90.00 90.00 90.00
Fractional coordinates of all 5 atoms:
Os: 0.0000 0.0000 0.0000
S: 0.5000 0.5000 0.5000
I: 0.0000 0.5000 0.5000
I: 0.5000 0.0000 0.5000
N: 0.5000 0.5000 0.0000

Summary:
The calculation puts the size of the total moment at 0.00 μB per cell. The density of states at the Fermi level is 3.65 states/eV per cell. As for the density: 8.3 g/cm³.

---

Q | Computed, not measured: a geometry-optimized OsSI2N structure at the PBE level of DFT.

abc: 5.5196 5.5196 3.7183
angles: 90.00 90.00 90.00
Fractional coordinates of all 5 atoms:
Os: 0.0000 0.0000 0.0000
S: 0.5000 0.5000 0.5000
I: 0.0000 0.5000 0.0000
I: 0.5000 0.0000 0.0000
N: 0.0000 0.0000 0.5000

Summary:
The calculation puts the size of the total moment at 0.67 μB per cell. The density of states at the Fermi level is 4.12 states/eV per cell. As for the density: 7.2 g/cm³.

---

Verdict on stability: P comes out at the bottom.

---

P | Computed, not measured: a geometry-optimized ScOsI2N structure at the PBE level of DFT.

abc: 5.8039 5.8039 3.8471
angles: 90.00 90.00 90.00
Fractional coordinates of all 5 atoms:
Sc: 0.0000 0.0000 0.0000
Os: 0.5000 0.5000 0.5000
I: 0.0000 0.5000 0.0000
I: 0.5000 0.0000 0.0000
N: 0.0000 0.0000 0.5000

Summary:
The calculation puts the size of the total moment at 3.75 μB per cell. The density of states at the Fermi level is 6.40 states/eV per cell. As for the density: 6.4 g/cm³.

---

Q | Computed, not measured: a geometry-optimized ScOsI2N structure at the PBE level of DFT.

abc: 5.6032 5.6032 3.7381
angles: 90.00 90.00 90.00
Fractional coordinates of all 5 atoms:
Sc: 0.0000 0.0000 0.0000
Os: 0.5000 0.5000 0.5000
I: 0.0000 0.5000 0.5000
I: 0.5000 0.0000 0.5000
N: 0.5000 0.5000 0.0000

Summary:
The calculation puts the size of the total moment at 0.92 μB per cell. The density of states at the Fermi level is 4.72 states/eV per cell. As for the density: 7.1 g/cm³.

---

Verdict on stability: P comes out at the bottom.

---

P | Computed, not measured: a geometry-optimized OsSeI2N structure at the PBE level of DFT.

abc: 5.8608 5.8608 3.6168
angles: 90.00 90.00 90.00
Fractional coordinates of all 5 atoms:
Os: 0.0000 0.0000 0.0000
Se: 0.5000 0.5000 0.5000
I: 0.0000 0.5000 0.5000
I: 0.5000 0.0000 0.5000
N: 0.5000 0.5000 0.0000

Summary:
The calculation puts the size of the total moment at 3.18 μB per cell. The density of states at the Fermi level is 4.24 states/eV per cell. As for the density: 7.2 g/cm³.

---

Q | Computed, not measured: a geometry-optimized OsSeI2N structure at the PBE level of DFT.

abc: 5.5607 5.5607 3.7338
angles: 90.00 90.00 90.00
Fractional coordinates of all 5 atoms:
Os: 0.0000 0.0000 0.0000
Se: 0.5000 0.5000 0.5000
I: 0.0000 0.5000 0.0000
I: 0.5000 0.0000 0.0000
N: 0.0000 0.0000 0.5000

Summary:
The calculation puts the size of the total moment at 0.29 μB per cell. The density of states at the Fermi level is 4.70 states/eV per cell. As for the density: 7.7 g/cm³.

---

Verdict on stability: P comes out at the bottom.